w | First-principles (PBE) data for crystalline CaHoTlGa at its relaxed geometry, as listed in Alexandria.

Size of the total moment ... 0.00 μB/atom
Calculated volume ... 415 Å³ per cell
N(E_F) ... 0.638 states/eV/atom

Cell lengths 7.458, 7.458, 7.458 Å; angles 90.00, 90.00, 90.00 degrees
Space group F-43m (No. 216)
Unique sites:
Ca1 0.000 0.000 0.000 x4
Ho1 0.000 0.000 0.500 x4
Tl1 0.250 0.250 0.250 x4
Ga1 0.250 0.250 0.750 x4

---

x | First-principles (PBE) data for crystalline CaHoTlGa at its relaxed geometry, as listed in Alexandria.

Size of the total moment ... 0.00 μB/atom
Calculated volume ... 103 Å³ per cell
N(E_F) ... 0.487 states/eV/atom

Cell lengths 3.709, 3.709, 7.516 Å; angles 90.00, 90.00, 90.00 degrees
Space group P4mm (No. 99)
Unique sites:
Ca1 0.000 0.000 0.000 x1
Ho1 0.000 0.000 0.534 x1
Tl1 0.500 0.500 0.271 x1
Ga1 0.500 0.500 0.754 x1

---

Stability summary: most stable x, least stable w.

---

w | First-principles (PBE) data for crystalline CaGaI2 at its relaxed geometry, as listed in Alexandria.

Size of the total moment ... 0.25 μB/atom
Calculated volume ... 612 Å³ per cell
N(E_F) ... 0.100 states/eV/atom

Cell lengths 8.838, 8.838, 7.840 Å; angles 90.00, 90.00, 90.00 degrees
Space group I-42d (No. 122)
Unique sites:
Ca1 0.000 0.000 0.000 x4
Ga1 0.000 0.000 0.500 x4
I1 0.221 0.750 0.125 x8

---

x | First-principles (PBE) data for crystalline CaGaI2 at its relaxed geometry, as listed in Alexandria.

Size of the total moment ... 0.00 μB/atom
Calculated volume ... 508 Å³ per cell
N(E_F) ... 0.749 states/eV/atom

Cell lengths 7.978, 7.978, 7.978 Å; angles 90.00, 90.00, 90.00 degrees
Space group Fm-3m (No. 225)
Unique sites:
Ca1 0.000 0.000 0.000 x4
Ga1 0.000 0.000 0.500 x4
I1 0.250 0.250 0.250 x8

---

y | First-principles (PBE) data for crystalline CaGaI2 at its relaxed geometry, as listed in Alexandria.

Size of the total moment ... 0.00 μB/atom
Calculated volume ... 540 Å³ per cell
N(E_F) ... 0.237 states/eV/atom

Cell lengths 4.5916, 4.5916, 29.5712 Å; angles 90.00, 90.00, 120.00 degrees
Space group R-3m (No. 166, hexagonal axes)
Unique sites:
Ca1 0.0000 0.0000 0.0000 x3
Ga1 0.0000 0.0000 0.5000 x3
I1 0.0000 0.0000 0.1013 x6

---

Stability summary: most stable w, least stable y.

---

w | First-principles (PBE) data for crystalline CaGaI3 at its relaxed geometry, as listed in Alexandria.

Size of the total moment ... 0.00 μB/atom
Calculated volume ... 499 Å³ per cell
N(E_F) ... 0.000 states/eV/atom

Cell lengths 8.451, 5.037, 12.086 Å; angles 90.00, 104.11, 90.00 degrees
Space group P2_1/m (No. 11)
Unique sites:
Ca1 0.033 0.250 0.173 x2
Ga1 0.463 0.250 0.662 x2
I1 0.190 0.750 0.088 x2
I2 0.268 0.750 0.741 x2
I3 0.298 0.250 0.394 x2

---

x | First-principles (PBE) data for crystalline CaGaI3 at its relaxed geometry, as listed in Alexandria.

Size of the total moment ... 0.00 μB/atom
Calculated volume ... 856 Å³ per cell
N(E_F) ... 0.000 states/eV/atom

Cell lengths 7.951, 14.041, 8.070 Å; angles 90.00, 108.23, 90.00 degrees
Space group C2/m (No. 12)
Unique sites:
Ca1 0.000 0.163 0.000 x4
Ga1 0.000 0.340 0.500 x4
I1 0.224 0.000 0.231 x4
I2 0.248 0.183 0.759 x8

---

Stability summary: most stable x, least stable w.

---

w | First-principles (PBE) data for crystalline CaGaI3 at its relaxed geometry, as listed in Alexandria.

Size of the total moment ... 0.00 μB/atom
Calculated volume ... 196 Å³ per cell
N(E_F) ... 0.209 states/eV/atom

Cell lengths 5.804, 5.804, 5.804 Å; angles 90.00, 90.00, 90.00 degrees
Space group Pm-3m (No. 221)
Unique sites:
Ca1 0.000 0.000 0.000 x1
Ga1 0.500 0.500 0.500 x1
I1 0.000 0.500 0.500 x3

---

x | First-principles (PBE) data for crystalline CaGaI3 at its relaxed geometry, as listed in Alexandria.

Size of the total moment ... 0.00 μB/atom
Calculated volume ... 229 Å³ per cell
N(E_F) ... 0.000 states/eV/atom

Cell lengths 6.114, 6.114, 6.114 Å; angles 90.00, 90.00, 90.00 degrees
Space group Pm-3m (No. 221)
Unique sites:
Ca1 0.000 0.000 0.000 x1
Ga1 0.500 0.500 0.500 x1
I1 0.000 0.000 0.500 x3

---

Stability summary: most stable x, least stable w.

---

w | First-principles (PBE) data for crystalline CaGa2I6 at its relaxed geometry, as listed in Alexandria.

Size of the total moment ... 0.00 μB/atom
Calculated volume ... 1289 Å³ per cell
N(E_F) ... 0.000 states/eV/atom

Cell lengths 7.6612, 7.6612, 25.3533 Å; angles 90.00, 90.00, 120.00 degrees
Space group R3 (No. 146, hexagonal axes)
Unique sites:
Ca1 0.0000 0.0000 0.0000 x3
Ga1 0.0000 0.0000 0.6191 x3
Ga2 0.0000 0.0000 0.7145 x3
I1 0.0348 0.3395 0.5828 x9
I2 0.0357 0.6957 0.7507 x9

---

x | First-principles (PBE) data for crystalline CaGa2I6 at its relaxed geometry, as listed in Alexandria.

Size of the total moment ... 0.00 μB/atom
Calculated volume ... 1617 Å³ per cell

Cell lengths 16.557, 13.059, 7.587 Å; angles 90.00, 99.82, 90.00 degrees
Space group C2/c (No. 15)
Unique sites:
Ca1 0.000 0.071 0.250 x4
Ga1 0.075 0.422 0.256 x8
I1 0.115 0.082 0.614 x8
I2 0.123 0.255 0.125 x8
I3 0.150 0.425 0.607 x8

---

Stability summary: most stable w, least stable x.

---

w | First-principles (PBE) data for crystalline CaGa2I at its relaxed geometry, as listed in Alexandria.

Size of the total moment ... 0.00 μB/atom
Calculated volume ... 457 Å³ per cell
N(E_F) ... 0.945 states/eV/atom

Cell lengths 7.702, 7.702, 7.702 Å; angles 90.00, 90.00, 90.00 degrees
Space group Fm-3m (No. 225)
Unique sites:
Ca1 0.000 0.000 0.000 x4
Ga1 0.250 0.250 0.250 x8
I1 0.000 0.000 0.500 x4

---

x | First-principles (PBE) data for crystalline CaGa2I at its relaxed geometry, as listed in Alexandria.

Size of the total moment ... 0.00 μB/atom
Calculated volume ... 471 Å³ per cell
N(E_F) ... 0.596 states/eV/atom

Cell lengths 8.760, 8.760, 6.135 Å; angles 90.00, 90.00, 90.00 degrees
Space group I-42d (No. 122)
Unique sites:
Ca1 0.000 0.000 0.000 x4
Ga1 0.249 0.250 0.125 x8
I1 0.000 0.000 0.500 x4

---

Stability summary: most stable x, least stable w.